Density functional theory data (meta-GGA SCAN) for a PBEsol-optimized structure of TiIBrN2.

a b c (Å): 3.950 3.950 6.296
angles (deg): 90.00 90.00 90.00
Element x y z (fractional)
Ti 0.000 0.000 0.000
I 0.500 0.500 0.000
Br 0.500 0.500 0.500
N 0.000 0.500 0.500
N 0.500 0.000 0.500

Results
Final energy: -0.5964 Ha/atom
Formation energy (no corrections): 1.934 eV per atom
Theoretical density: 4.8 Mg/m³